# 1
First-principles (GGA-PBE) data for a geometry-optimized Ac2PuF8 structure, as listed in OQMD via LeMat-Bulk.

Cell lengths 7.491, 7.491, 5.859 Å; angles 111.33, 111.33, 31.80 degrees
Positions (direct):
Ac  0.168  0.168  0.172
Ac  0.832  0.832  0.828
Pu  0.500  0.500  0.500
F  0.017  0.017  0.269
F  0.209  0.209  0.799
F  0.331  0.331  0.546
F  0.404  0.404  0.055
F  0.596  0.596  0.945
F  0.669  0.669  0.454
F  0.791  0.791  0.201
F  0.983  0.983  0.731

Summary:
- total DFT energy (no corrections) (eV for the cell shown) = -79.84
- symmetry = C2/m, No. 12
- calculated volume (A^3/atom) = 14.581

# 2
First-principles (GGA-PBE) data for a geometry-optimized SrCdSO structure, as listed in OQMD via LeMat-Bulk.

Cell lengths 6.168, 9.585, 6.016 Å; angles 90.00, 90.00, 90.00 degrees
Positions (direct):
Sr  0.002  0.165  0.000
Sr  0.498  0.165  0.500
Sr  0.502  0.835  0.000
Sr  0.998  0.835  0.500
Cd  0.080  0.590  0.934
Cd  0.420  0.590  0.434
Cd  0.580  0.410  0.934
Cd  0.920  0.410  0.434
S  0.008  0.151  0.503
S  0.492  0.151  0.003
S  0.508  0.849  0.503
S  0.992  0.849  0.003
O  0.079  0.594  0.560
O  0.421  0.594  0.060
O  0.579  0.406  0.560
O  0.921  0.406  0.060

Summary:
- total DFT energy (no corrections) (eV for the cell shown) = -72.53
- symmetry = Pca2_1, No. 29
- calculated volume (A^3/atom) = 22.233

Which of these has the lowest total DFT energy (no corrections)? Ac2PuF8